Here is an optimized crystal structure of Nd3Ho6Tm from Alexandria via LeMat-Bulk. Energies are from PBE.

a = 6.321 Å, b = 10.907 Å, c = 10.907 Å
α = 119.77°, β = 90.00°, γ = 90.00°
Element x y z (fractional)
1 Ho 0.880 0.041 0.959
2 Ho 0.380 0.959 0.041
3 Nd 0.569 0.612 0.388
4 Ho 0.047 0.713 0.621
5 Ho 0.869 0.469 0.049
6 Ho 0.647 0.273 0.727
7 Ho 0.047 0.379 0.287
8 Ho 0.547 0.287 0.379
9 Ho 0.869 0.951 0.531
10 Tm 0.132 0.197 0.803
11 Nd 0.963 0.713 0.938
12 Ho 0.369 0.049 0.469
13 Tm 0.632 0.803 0.197
14 Nd 0.963 0.062 0.287
15 Ho 0.547 0.621 0.713
16 Nd 0.069 0.388 0.612
17 Nd 0.463 0.287 0.062
18 Ho 0.147 0.727 0.273
19 Ho 0.369 0.531 0.951
20 Nd 0.463 0.938 0.713

Calculated values
Its space group is Cmc2_1. The calculated density is 8.096 g/cm3. As for the polymorph energy (0 for the lowest one): 0.0 kJ/mol of atoms. The value obtained for the energy of formation from the pure elements is 15 kJ/mol of atoms. For the total magnetization, the calculation gives 0.001 μB/f.u. Its total DFT energy (no corrections) is -4.47 eV per atom.

=====

Here is an optimized crystal structure of RbAlSb2 from Alexandria via LeMat-Bulk. Energies are from PBE.

a = 6.172 Å, b = 6.172 Å, c = 9.661 Å
α = 71.37°, β = 71.37°, γ = 90.00°
Element x y z (fractional)
1 Rb 0.000 0.000 0.000
2 Rb 0.750 0.250 0.500
3 Sb 0.299 0.625 0.250
4 Al 0.250 0.750 0.500
5 Sb 0.451 0.125 0.250
6 Sb 0.375 0.549 0.750
7 Al 0.500 0.500 0.000
8 Sb 0.875 0.701 0.750

Calculated values
Its space group is I-42d. The uncorrected formation energy comes out at -0.076 eV/atom. The calculated density is 3.601 g/cm3. For the total magnetization, the calculation gives 0.000 μB/f.u. Its total DFT energy (no corrections) is -3.31 eV per atom.

=====

Here is an optimized crystal structure of Nb2ZnAu2 from Alexandria via LeMat-Bulk. Energies are from PBE.

a = 3.849 Å, b = 3.849 Å, c = 7.222 Å
α = 74.55°, β = 74.55°, γ = 90.00°
Element x y z (fractional)
1 Au 0.750 0.250 0.500
2 Nb 0.587 0.587 0.826
3 Nb 0.413 0.413 0.174
4 Au 0.250 0.750 0.500
5 Zn 0.000 0.000 0.000

Calculated values
Its space group is I4/mmm. The calculated density is 10.812 g/cm3. As for the polymorph energy (0 for the lowest one): 23.6 kJ/mol of atoms. The value obtained for the energy of formation from the pure elements is 42 kJ/mol of atoms. For the total magnetization, the calculation gives 0.002 μB/f.u. Its total DFT energy (no corrections) is -5.16 eV per atom.

=====

Here is an optimized crystal structure of KAs2Ir from Alexandria via LeMat-Bulk. Energies are from PBE.

a = 4.117 Å, b = 4.121 Å, c = 7.158 Å
α = 73.25°, β = 90.00°, γ = 90.00°
Element x y z (fractional)
1 As 0.500 0.360 0.405
2 Ir 0.000 0.443 0.238
3 K 0.500 0.666 0.793
4 As 0.000 0.030 0.065

Calculated values
Its space group is Amm2. The calculated density is 5.443 g/cm3. As for the polymorph energy (0 for the lowest one): 16.2 kJ/mol of atoms. The value obtained for the energy of formation from the pure elements is -13 kJ/mol of atoms. For the total magnetization, the calculation gives 0.000 μB/f.u. Its total DFT energy (no corrections) is -4.95 eV per atom.

=====

Here is an optimized crystal structure of LaTbGaCo from Alexandria via LeMat-Bulk. Energies are from PBE.

a = 5.071 Å, b = 5.071 Å, c = 5.071 Å
α = 60.00°, β = 60.00°, γ = 60.00°
Element x y z (fractional)
1 La 0.500 0.500 0.500
2 Co 0.750 0.750 0.750
3 Ga 0.250 0.250 0.250
4 Tb 0.000 0.000 0.000

Calculated values
Its space group is F-43m. The calculated density is 7.680 g/cm3. The value obtained for the energy of formation from the pure elements is -23 kJ/mol of atoms. For the total magnetization, the calculation gives 0.991 μB/f.u. Its total DFT energy (no corrections) is -5.16 eV per atom.

=====

Here is an optimized crystal structure of Tb2PrCd from Alexandria via LeMat-Bulk. Energies are from PBE.

a = 3.686 Å, b = 3.686 Å, c = 8.937 Å
α = 90.00°, β = 90.00°, γ = 90.00°
Element x y z (fractional)
1 Pr 0.500 0.500 0.500
2 Cd 0.500 0.500 0.000
3 Tb 0.000 0.000 0.782
4 Tb 0.000 0.000 0.218

Calculated values
Its space group is P4/mmm. The calculated density is 7.810 g/cm3. As for the polymorph energy (0 for the lowest one): 0.0 kJ/mol of atoms. The value obtained for the energy of formation from the pure elements is -14 kJ/mol of atoms. For the total magnetization, the calculation gives 0.000 μB/f.u. Its total DFT energy (no corrections) is -3.89 eV per atom.

=====

Here is an optimized crystal structure of GaCo3Rh from Alexandria via LeMat-Bulk. Energies are from PBE.

a = 4.268 Å, b = 4.268 Å, c = 4.268 Å
α = 90.00°, β = 90.00°, γ = 90.00°
Element x y z (fractional)
1 Ga 0.000 0.000 0.000
2 Co 0.000 0.500 0.000
3 Co 0.000 0.000 0.500
4 Co 0.500 0.000 0.000
5 Rh 0.500 0.500 0.500

Calculated values
Its space group is Pm-3m. The calculated density is 7.464 g/cm3. As for the polymorph energy (0 for the lowest one): 0.0 kJ/mol of atoms. The value obtained for the energy of formation from the pure elements is 108 kJ/mol of atoms. For the total magnetization, the calculation gives 5.528 μB/f.u. Its total DFT energy (no corrections) is -5.22 eV per atom.

=====

Here is an optimized crystal structure of Cu5Ni2Pt4 from Alexandria via LeMat-Bulk. Energies are from PBE.

a = 2.624 Å, b = 6.454 Å, c = 10.115 Å
α = 75.94°, β = 97.45°, γ = 90.00°
Element x y z (fractional)
1 Cu 0.826 0.690 0.653
2 Ni 0.954 0.680 0.909
3 Ni 0.046 0.320 0.091
4 Cu 0.174 0.310 0.347
5 Cu 0.500 0.000 0.000
6 Pt 0.923 0.329 0.845
7 Pt 0.700 0.650 0.401
8 Pt 0.300 0.350 0.599
9 Cu 0.132 0.991 0.265
10 Cu 0.868 0.009 0.735
11 Pt 0.077 0.671 0.155

Calculated values
Its space group is C2/m. The calculated density is 12.257 g/cm3. As for the polymorph energy (0 for the lowest one): 25.6 kJ/mol of atoms. The value obtained for the energy of formation from the pure elements is 20 kJ/mol of atoms. For the total magnetization, the calculation gives 0.884 μB/f.u. Its total DFT energy (no corrections) is -4.90 eV per atom.